A plane-wave DFT calculation with PBE was carried out for EuZnGaPt after structural relaxation.

The value obtained for the total energy is -22.622 eV/cell.

a b c (Å): 4.7311 4.7311 4.7311
angles (deg): 60.00 60.00 60.00
Atoms (fractional coordinates):
Eu  0.0000  0.0000  0.0000
Zn  0.7500  0.7500  0.7500
Ga  0.2500  0.2500  0.2500
Pt  0.5000  0.5000  0.5000

A plane-wave DFT calculation with PBE was carried out for KMnGaSn2 after structural relaxation.

The value obtained for the total energy is -21.319 eV/cell.

a b c (Å): 5.0394 5.0394 4.8446
angles (deg): 90.00 90.00 90.00
Atoms (fractional coordinates):
K  0.0000  0.0000  0.0000
Mn  0.5000  0.5000  0.5000
Ga  0.5000  0.5000  0.0000
Sn  0.0000  0.5000  0.5000
Sn  0.5000  0.0000  0.5000

A plane-wave DFT calculation with PBE was carried out for Rb4Pm3SiO8 after structural relaxation.

The value obtained for the total energy is -98.878 eV/cell. For the uncorrected formation energy, the calculation gives -2.23 eV/atom.

a b c (Å): 7.7138 7.7138 7.7138
angles (deg): 53.53 53.53 53.53
Atoms (fractional coordinates):
Rb  0.0000  0.0000  0.0000
Rb  0.0000  0.5000  0.5000
Rb  0.5000  0.0000  0.5000
Rb  0.5000  0.5000  0.0000
Pm  0.0000  0.0000  0.5000
Pm  0.0000  0.5000  0.0000
Pm  0.5000  0.0000  0.0000
Si  0.5000  0.5000  0.5000
O  0.2297  0.2297  0.2297
O  0.2809  0.6886  0.6886
O  0.3114  0.3114  0.7191
O  0.3114  0.7191  0.3114
O  0.6886  0.2809  0.6886
O  0.6886  0.6886  0.2809
O  0.7191  0.3114  0.3114
O  0.7703  0.7703  0.7703

A plane-wave DFT calculation with PBE was carried out for LaCo2Tc after structural relaxation.

The value obtained for the total energy is -26.814 eV/cell. The energy above the lowest structure with this stoichiometry is 646 meV per atom.

a b c (Å): 9.1465 9.1465 9.1465
angles (deg): 18.14 18.14 18.14
Atoms (fractional coordinates):
La  0.0000  0.0000  0.0000
Co  0.2372  0.2372  0.2372
Co  0.7628  0.7628  0.7628
Tc  0.5000  0.5000  0.5000

A plane-wave DFT calculation with PBE was carried out for Y2GaB after structural relaxation.

The value obtained for the total energy is -22.806 eV/cell. The energy above the lowest structure with this stoichiometry is 0 meV per atom.

a b c (Å): 4.8303 4.8303 4.8303
angles (deg): 60.00 60.00 60.00
Atoms (fractional coordinates):
Y  0.2500  0.2500  0.2500
Y  0.7500  0.7500  0.7500
Ga  0.0000  0.0000  0.0000
B  0.5000  0.5000  0.5000

A plane-wave DFT calculation with PBE was carried out for PuTh2PdRh5 after structural relaxation.

The value obtained for the total energy is -147.749 eV/cell.

a b c (Å): 7.9722 7.9722 7.9722
angles (deg): 115.87 115.87 97.31
Atoms (fractional coordinates):
Pu  0.2500  0.2500  0.0000
Pu  0.7500  0.7500  0.0000
Th  0.1377  0.6377  0.7753
Th  0.3623  0.1377  0.5000
Th  0.6377  0.8623  0.5000
Th  0.8623  0.3623  0.2247
Pd  0.2500  0.7500  0.5000
Pd  0.7500  0.2500  0.5000
Rh  0.0000  0.0000  0.0000
Rh  0.0540  0.1706  0.5000
Rh  0.1706  0.6706  0.1167
Rh  0.3294  0.4460  0.5000
Rh  0.4460  0.9460  0.1167
Rh  0.5000  0.5000  0.0000
Rh  0.5540  0.0540  0.8833
Rh  0.6706  0.5540  0.5000
Rh  0.8294  0.3294  0.8833
Rh  0.9460  0.8294  0.5000

A plane-wave DFT calculation with PBE was carried out for Zn2Ag2Pd5Au after structural relaxation.

The value obtained for the total energy is -78.280 eV/cell.

a b c (Å): 9.2140 9.2140 3.8946
angles (deg): 90.00 90.00 90.00
Atoms (fractional coordinates):
Zn  0.1271  0.3729  0.0000
Zn  0.3729  0.8729  0.0000
Zn  0.6271  0.1271  0.0000
Zn  0.8729  0.6271  0.0000
Ag  0.1702  0.6702  0.0000
Ag  0.3298  0.1702  0.0000
Ag  0.6702  0.8298  0.0000
Ag  0.8298  0.3298  0.0000
Pd  0.0000  0.5000  0.5000
Pd  0.0775  0.2018  0.5000
Pd  0.2018  0.9225  0.5000
Pd  0.2982  0.4225  0.5000
Pd  0.4225  0.7018  0.5000
Pd  0.5000  0.0000  0.5000
Pd  0.5775  0.2982  0.5000
Pd  0.7018  0.5775  0.5000
Pd  0.7982  0.0775  0.5000
Pd  0.9225  0.7982  0.5000
Au  0.0000  0.0000  0.0000
Au  0.5000  0.5000  0.0000

A plane-wave DFT calculation with PBE was carried out for Ca3ZnHg after structural relaxation.

The value obtained for the total energy is -7.698 eV/cell. The energy above the lowest structure with this stoichiometry is 318 meV per atom.

a b c (Å): 5.6781 5.6781 5.6781
angles (deg): 90.00 90.00 90.00
Atoms (fractional coordinates):
Ca  0.0000  0.0000  0.5000
Ca  0.0000  0.5000  0.0000
Ca  0.5000  0.0000  0.0000
Zn  0.0000  0.0000  0.0000
Hg  0.5000  0.5000  0.5000

A plane-wave DFT calculation with PBE was carried out for TaPCl2 after structural relaxation.

The value obtained for the total energy is -23.078 eV/cell. For the uncorrected formation energy, the calculation gives -0.53 eV/atom. The energy above the lowest structure with this stoichiometry is 118 meV per atom.

a b c (Å): 3.3480 3.3480 8.8401
angles (deg): 90.00 90.00 90.00
Atoms (fractional coordinates):
Ta  0.0000  0.0000  0.0000
P  0.5000  0.5000  0.1042
Cl  0.0000  0.0000  0.7437
Cl  0.5000  0.5000  0.3445

A plane-wave DFT calculation with PBE was carried out for NbAg after structural relaxation.

The value obtained for the total energy is -11.463 eV/cell.

a b c (Å): 4.0424 4.0424 4.0424
angles (deg): 141.45 100.65 91.90
Atoms (fractional coordinates):
Nb  0.0000  0.0000  0.0000
Ag  0.5000  0.5000  0.0000

A plane-wave DFT calculation with PBE was carried out for La2Be3AlPt12 after structural relaxation.

The value obtained for the total energy is -107.085 eV/cell.

a b c (Å): 7.6725 7.6725 7.6725
angles (deg): 62.03 62.03 62.03
Atoms (fractional coordinates):
La  0.1132  0.1132  0.1132
La  0.8868  0.8868  0.8868
Be  0.0000  0.5000  0.5000
Be  0.5000  0.0000  0.5000
Be  0.5000  0.5000  0.0000
Al  0.5000  0.5000  0.5000
Pt  0.1200  0.6246  0.6246
Pt  0.1471  0.1471  0.6033
Pt  0.1471  0.6033  0.1471
Pt  0.3754  0.3754  0.8800
Pt  0.3754  0.8800  0.3754
Pt  0.3968  0.8529  0.8529
Pt  0.6033  0.1471  0.1471
Pt  0.6246  0.1200  0.6246
Pt  0.6246  0.6246  0.1200
Pt  0.8529  0.3968  0.8529
Pt  0.8529  0.8529  0.3967
Pt  0.8800  0.3754  0.3754

A plane-wave DFT calculation with PBE was carried out for Ba2GeAu2 after structural relaxation.

The value obtained for the total energy is -33.375 eV/cell. The energy above the lowest structure with this stoichiometry is 315 meV per atom.

a b c (Å): 9.1434 9.1434 4.0693
angles (deg): 90.00 90.00 90.00
Atoms (fractional coordinates):
Ba  0.1787  0.3213  0.0000
Ba  0.3213  0.8213  0.0000
Ba  0.6787  0.1787  0.0000
Ba  0.8213  0.6787  0.0000
Ge  0.0000  0.0000  0.0000
Ge  0.5000  0.5000  0.0000
Au  0.1140  0.6140  0.5000
Au  0.3860  0.1140  0.5000
Au  0.6140  0.8860  0.5000
Au  0.8860  0.3860  0.5000